A relaxed Na2CuMoF8 crystal. Source: Alexandria, functional PBE with a Hubbard U.

Properties
Total moment, μB/f.u.: 3.0
Electronic total energy, eV per atom: -4.80
Space-group type: P-1 (2)

a b c (Å): 5.0442 5.0568 6.8606
angles (deg): 86.81 86.70 85.83
With the nearest neighbours (Å) after each atom.
Fractional coordinates of all 12 atoms:
Na (0.0209, 0.0211, 0.2354)  6 F 2.27-2.42
Na (0.9791, 0.9789, 0.7646)  6 F 2.27-2.42
Cu (0.5000, 0.5000, 0.0000)  4 F 1.86-2.03
Mo (0.5000, 0.5000, 0.5000)  6 F 1.96-2.09
F (0.2188, 0.7923, 0.4993)  1 Mo 1.97
F (0.2328, 0.7728, 0.9992)  1 Cu 1.86
F (0.2878, 0.2997, 0.6983)  1 Mo 1.96
F (0.3420, 0.3484, 0.2580)  1 Cu 2.03, 1 Mo 2.09
F (0.6580, 0.6516, 0.7420)  1 Cu 2.03, 1 Mo 2.09
F (0.7122, 0.7003, 0.3017)  1 Mo 1.96
F (0.7672, 0.2272, 0.0008)  1 Cu 1.86
F (0.7812, 0.2077, 0.5007)  1 Mo 1.97